First-principles (PBE) data for crystalline Li8Sn5Pb at its relaxed geometry, as listed in the Alexandria database.

```
14
Lattice="7.245 -0.244 0.419 -2.681 6.735 -0.419 -1.883 -3.526 6.062" Properties=species:S:1:pos:R:3 pbc="T T T"
Li -2.586 3.596 2.417
Li 2.376 -0.824 5.925
Li 3.783 0.413 1.851
Li -1.049 4.830 0.289
Li 5.116 -2.124 4.475
Li 1.789 2.745 1.931
Li 0.336 3.141 4.937
Li 0.959 0.084 2.422
Sn -0.796 1.801 1.060
Sn 2.949 1.536 4.362
Sn 2.681 -1.885 3.240
Sn 0.081 -2.535 5.659
Sn 3.128 5.129 1.041
Pb -0.942 0.662 4.441
```

For the energy of formation, the calculation gives -0.243 eV per atom.